A geometry-optimized KY2HgGe structure. Source: Alexandria via LeMat-Bulk, functional PBE.

Structure (extended XYZ):
```
5
Lattice="-1.1274 -0.7993 -5.3315 0.7824 -5.2052 0.6149 -5.3294 -0.6563 1.2254" Properties=species:S:1:pos:R:3 pbc="T T T"
Y -2.6647 -0.3282 0.6127
Y -0.5637 -0.3997 -2.6657
K 0.0000 0.0000 0.0000
Ge 0.3912 -2.6026 0.3075
Hg -2.8372 -3.3304 -1.7456
```

- space group = P4/mmm

A geometry-optimized KZnHg2Ge structure. Source: Alexandria via LeMat-Bulk, functional PBE.

Structure (extended XYZ):
```
5
Lattice="5.7089 0.0000 0.0000 0.0000 5.7089 0.0000 0.0000 0.0000 4.8870" Properties=species:S:1:pos:R:3 pbc="T T T"
Hg 0.0000 2.8544 0.0000
Hg 2.8544 0.0000 0.0000
Ge 0.0000 0.0000 0.0000
K 2.8544 2.8544 2.4435
Zn 0.0000 0.0000 2.4435
```

- space group = P4/mmm

A geometry-optimized LaHgGe4 structure. Source: Alexandria via LeMat-Bulk, functional PBE.

Structure (extended XYZ):
```
6
Lattice="5.7191 0.0000 0.0000 2.8595 4.9529 0.0000 2.8595 1.6510 4.6696" Properties=species:S:1:pos:R:3 pbc="T T T"
Ge 5.7191 3.3019 0.5988
Ge 4.3017 4.1203 2.9135
Ge 7.1365 4.1203 2.9135
Ge 5.7191 1.6652 2.9135
Hg 0.0000 0.0000 0.0000
La 2.8595 1.6510 1.1674
```

- space group = F-43m

A geometry-optimized LaHg2Ge2 structure. Source: Alexandria via LeMat-Bulk, functional PBE.

Structure (extended XYZ):
```
10
Lattice="8.0891 0.0000 0.0000 0.0000 8.0891 0.0000 0.0000 0.0000 3.6617" Properties=species:S:1:pos:R:3 pbc="T T T"
Hg 1.3062 5.3508 1.8309
Hg 5.3508 6.7829 1.8309
Hg 2.7383 1.3062 1.8309
Hg 6.7829 2.7383 1.8309
La 0.0000 0.0000 0.0000
La 4.0445 4.0445 0.0000
Ge 1.0594 2.9851 0.0000
Ge 5.1040 1.0594 0.0000
Ge 7.0297 5.1040 0.0000
Ge 2.9851 7.0297 0.0000
```

- space group = P4/mbm

A geometry-optimized La6HgGe structure. Source: Alexandria via LeMat-Bulk, functional PBE.

Structure (extended XYZ):
```
8
Lattice="5.4655 0.0002 1.6458 -0.4960 5.4428 1.6464 0.3683 0.4026 8.6745" Properties=species:S:1:pos:R:3 pbc="T T T"
La 1.5382 1.6844 4.7893
La 4.7623 2.2227 3.9809
La 3.5563 0.9015 7.9856
La 1.7816 4.9440 3.9812
La 0.5755 3.6228 7.9858
La 3.7996 4.1611 7.1775
Hg 0.0000 0.0000 0.0000
Ge 2.4848 2.7215 1.6461
```

- space group = I4/mmm

A geometry-optimized La8HgGe2 structure. Source: Alexandria via LeMat-Bulk, functional PBE.

Structure (extended XYZ):
```
11
Lattice="4.7500 0.0000 -0.9094 -0.5285 7.7786 -2.7606 -0.5592 -1.4938 9.9389" Properties=species:S:1:pos:R:3 pbc="T T T"
La 2.3177 5.2779 -0.7537
La 0.8775 3.6297 4.5831
La -0.0305 2.2483 -0.1591
La 1.3445 1.0069 7.0226
La 0.6512 0.0858 3.4015
La 3.0110 6.1989 2.8674
La 3.6927 4.0364 6.4280
La 2.7848 2.6551 1.6857
Ge 3.3347 1.4160 4.5582
Ge 0.3275 4.8687 1.7106
Hg 2.3750 0.0000 -0.4547
```

- space group = C2/m

Number 1: density 5.06 g/cm³, calculated formation energy 1.17 eV/atom, total magnetization 0.00 μB per formula unit. Number 2: density 6.03 g/cm³, calculated formation energy 0.05 eV/atom, total magnetization 0.00 μB per formula unit. Number 3: density 7.91 g/cm³, calculated formation energy -0.24 eV/atom, total magnetization 0.00 μB per formula unit. Number 4: density 9.50 g/cm³, calculated formation energy -0.14 eV/atom, total magnetization 0.00 μB per formula unit. Number 5: density 7.33 g/cm³, calculated formation energy -0.29 eV/atom, total magnetization 0.00 μB per formula unit. Number 6: density 7.06 g/cm³, calculated formation energy -0.39 eV/atom, total magnetization 0.00 μB per formula unit.